1.
An optimized crystal structure of BaCrSN2. Source: the Alexandria database, functional PBE.

Summary:
- Raw formation energy: 1.769 eV/atom
- ρ: 3.2 g/cm³
- E: -23.479 eV for the cell shown
- E above lowest polymorph: 9.72 eV per formula unit
- Magnetic moment: 2.00 μB per formula unit

a = 4.5680 Å, b = 4.5680 Å, c = 6.1513 Å
α = 90.00°, β = 90.00°, γ = 90.00°
Last column: nearest neighbours and their distance in Å.
Positions (direct):
Cr: 0.5000 0.5000 0.5000  4 S 3.23
Ba: 0.0000 0.0000 0.0000  4 N 2.28
S: 0.0000 0.0000 0.5000  2 Ba 3.08, 4 Cr 3.23
N: 0.5000 0.0000 0.0000  2 Ba 2.28
N: 0.0000 0.5000 0.0000  2 Ba 2.28

2.
An optimized crystal structure of BaCrSeN2. Source: the Alexandria database, functional PBE.

Summary:
- Raw formation energy: 2.187 eV/atom
- ρ: 4.0 g/cm³
- E: -20.746 eV for the cell shown
- E above lowest polymorph: 10.68 eV per formula unit
- Magnetic moment: 0.74 μB per formula unit

a = 4.3041 Å, b = 4.3041 Å, c = 6.5664 Å
α = 90.00°, β = 90.00°, γ = 90.00°
Last column: nearest neighbours and their distance in Å.
Positions (direct):
N: 0.5000 0.0000 0.0000  2 Ba 2.15
N: 0.0000 0.5000 0.0000  2 Ba 2.15
Cr: 0.5000 0.5000 0.5000  4 Se 3.04
Se: 0.0000 0.0000 0.5000  4 Cr 3.04, 2 Ba 3.28
Ba: 0.0000 0.0000 0.0000  4 N 2.15